Entry from Alexandria via LeMat-Bulk: a relaxed structure of ErPaFe2 (PBE).

## Properties
The energy above the most stable polymorph in this dataset comes out at 168 meV/atom. The value obtained for the density of states at the Fermi level is 14.59 states/eV/cell.

Cell: 6.629 6.629 6.629 Å, 90.00 90.00 90.00°
Space group Fm-3m (No. 225)
Unique sites:
Er: 0.000 0.000 0.000 [4 per cell]
Pa: 0.000 0.000 0.500 [4 per cell]
Fe: 0.250 0.250 0.250 [8 per cell]

=====

Entry from Alexandria via LeMat-Bulk: a relaxed structure of CoAg2Ru (PBE).

## Properties
The energy above the most stable polymorph in this dataset comes out at 201 meV/atom. The value obtained for the density of states at the Fermi level is 9.27 states/eV/cell.

Cell: 9.596 2.710 4.747 Å, 90.00 99.97 90.00°
Space group C2/m (No. 12)
Unique sites:
Co: 0.000 0.000 0.000 [2 per cell]
Ag: 0.247 0.500 0.247 [4 per cell]
Ru: 0.000 0.500 0.500 [2 per cell]

=====

Copy entry 1 word for word.
Entry from Alexandria via LeMat-Bulk: a relaxed structure of ErPaFe2 (PBE).

## Properties
The energy above the most stable polymorph in this dataset comes out at 168 meV/atom. The value obtained for the density of states at the Fermi level is 14.59 states/eV/cell.

Cell: 6.629 6.629 6.629 Å, 90.00 90.00 90.00°
Space group Fm-3m (No. 225)
Unique sites:
Er: 0.000 0.000 0.000 [4 per cell]
Pa: 0.000 0.000 0.500 [4 per cell]
Fe: 0.250 0.250 0.250 [8 per cell]